A plane-wave DFT calculation with PBE was carried out for a relaxed structure of SrCo2Ir.

Magnetic moment (μB/f.u.): 2.8
Energy of formation from the pure elements (eV per atom): -0.002
Fermi-level density of states (states/eV/f.u.): 2.328
Energy (eV per atom): -6.19

The structure in CIF format:
```
data_SrCo2Ir
_chemical_formula_sum 'Sr3 Co6 Ir3'
_cell_length_a 4.1798
_cell_length_b 4.1798
_cell_length_c 16.1108
_cell_angle_alpha 90.00
_cell_angle_beta 90.00
_cell_angle_gamma 120.00
_space_group_name_H-M_alt 'R 3 m'
_space_group_IT_number 160
_space_group_name_Hall 'R 3 -2"'
loop_
_atom_site_label
_atom_site_fract_x
_atom_site_fract_y
_atom_site_fract_z
Sr1 0.0000 0.0000 0.0000
Co1 0.0000 0.0000 0.5053
Co2 0.0000 0.0000 0.8175
Ir1 0.0000 0.0000 0.1875
```

=====

A plane-wave DFT calculation with PBE was carried out for a relaxed structure of In3Ga4Sn.

Magnetic moment (μB/f.u.): 0.0
Energy of formation from the pure elements (eV per atom): 0.053
Fermi-level density of states (states/eV/f.u.): 2.836
Excess energy over the best structure of this formula in the dataset (meV per atom): 0
Energy (eV per atom): -2.99

The structure in CIF format:
```
data_In3Ga4Sn
_chemical_formula_sum 'In6 Ga8 Sn2'
_cell_length_a 4.0862
_cell_length_b 6.0167
_cell_length_c 15.4054
_cell_angle_alpha 90.00
_cell_angle_beta 90.00
_cell_angle_gamma 90.00
_space_group_name_H-M_alt 'P m m n'
_space_group_IT_number 59
loop_
_space_group_symop_operation_xyz
'x,y,z'
'-x,-y,-z'
'-x+1/2,-y+1/2,z'
'x+1/2,y+1/2,-z'
'x+1/2,-y,-z'
'-x+1/2,y,z'
'-x,y+1/2,-z'
'x,-y+1/2,z'
loop_
_atom_site_label
_atom_site_fract_x
_atom_site_fract_y
_atom_site_fract_z
In1 0.2500 0.0035 0.1946
In2 0.2500 0.7500 0.9550
Ga1 0.2500 0.2500 0.9074
Ga2 0.2500 0.5229 0.6643
Ga3 0.2500 0.7500 0.3899
Sn1 0.2500 0.2500 0.4653
```

=====

A plane-wave DFT calculation with PBE was carried out for a relaxed structure of CaLaIr2.

Magnetic moment (μB/f.u.): 0.0
Energy of formation from the pure elements (eV per atom): -0.006
Fermi-level density of states (states/eV/f.u.): 3.943
Excess energy over the best structure of this formula in the dataset (meV per atom): 373
Energy (eV per atom): -6.17

The structure in CIF format:
```
data_CaLaIr2
_chemical_formula_sum 'Ca1 La1 Ir2'
_cell_length_a 3.9212
_cell_length_b 3.9212
_cell_length_c 6.0118
_cell_angle_alpha 90.00
_cell_angle_beta 90.00
_cell_angle_gamma 90.00
_space_group_name_H-M_alt 'P 4 m m'
_space_group_IT_number 99
loop_
_space_group_symop_operation_xyz
'x,y,z'
'-y,x,z'
'-x,-y,z'
'y,-x,z'
'-x,y,z'
'y,x,z'
'x,-y,z'
'-y,-x,z'
loop_
_atom_site_label
_atom_site_fract_x
_atom_site_fract_y
_atom_site_fract_z
Ca1 0.0000 0.0000 0.0000
La1 0.5000 0.5000 0.6143
Ir1 0.0000 0.0000 0.4732
Ir2 0.5000 0.5000 0.1624
```

=====

A plane-wave DFT calculation with PBE was carried out for a relaxed structure of Ta6Ir5Os.

Magnetic moment (μB/f.u.): 0.0
Energy of formation from the pure elements (eV per atom): -0.522
Fermi-level density of states (states/eV/f.u.): 9.686
Energy (eV per atom): -11.08

The structure in CIF format:
```
data_Ta6Ir5Os
_chemical_formula_sum 'Ta6 Ir5 Os1'
_cell_length_a 4.8009
_cell_length_b 5.8249
_cell_length_c 7.5319
_cell_angle_alpha 112.61
_cell_angle_beta 93.79
_cell_angle_gamma 90.07
_space_group_name_H-M_alt 'P -1'
_space_group_IT_number 2
loop_
_space_group_symop_operation_xyz
'x,y,z'
'-x,-y,-z'
loop_
_atom_site_label
_atom_site_fract_x
_atom_site_fract_y
_atom_site_fract_z
Ta1 0.0000 0.2490 0.0002
Ta2 0.3377 0.0837 0.6686
Ta3 0.3379 0.5849 0.6685
Ir1 0.1633 0.1684 0.3369
Ir2 0.1641 0.6664 0.3328
Ir3 0.5000 0.5000 0.0000
Os1 0.5000 0.0000 0.0000
```

=====

Question: Which value of energy of formation from the pure elements does entry 3 give?
Answer: -0.006 eV per atom